Computed, not measured: an optimized crystal structure of AlAg2Sb at the GGA-PBEsol level of DFT.

Cell and atoms, written as POSCAR:
```
AlAg2Sb
1.0
3.1638 0.0000 0.0000
-1.5819 2.7399 0.0000
0.0000 0.0000 26.4419
Al Ag Sb
3 6 3
Direct
0.0000 0.0000 0.0000
0.3333 0.6667 0.6667
0.6667 0.3333 0.3333
0.0000 0.0000 0.2582
0.0000 0.0000 0.7418
0.3333 0.6667 0.4085
0.3333 0.6667 0.9248
0.6667 0.3333 0.0752
0.6667 0.3333 0.5915
0.0000 0.0000 0.5000
0.3333 0.6667 0.1667
0.6667 0.3333 0.8333
```

Properties
Crystal system = trigonal
VASP energy = -3.751 eV per atom
Fermi-level density of states = 3.961 states/eV/cell